1.
Entry from Alexandria via LeMat-Bulk: an optimized crystal structure of Ca3Ga2Cu2 (PBE).

Cell: 5.7330 8.2155 13.3811 Å, 90.00 90.00 90.00°
Closest atoms and distances in Å follow each position.
Element x y z (fractional)
Ca: 0.1356 0.1131 0.1022  4 Cu 2.98-3.27, 2 Ga 3.12-3.16
Ca: 0.1356 0.1131 0.3978  4 Cu 2.98-3.27, 2 Ga 3.12-3.16
Ca: 0.1356 0.3869 0.6022  4 Cu 2.98-3.27, 2 Ga 3.12-3.16
Ca: 0.1356 0.3869 0.8978  4 Cu 2.98-3.27, 2 Ga 3.12-3.16
Ca: 0.3489 0.7400 0.7500  5 Ga 3.03-3.35, 4 Cu 3.18-3.23
Ca: 0.3489 0.7600 0.2500  5 Ga 3.03-3.35, 4 Cu 3.18-3.23
Ca: 0.6511 0.2400 0.7500  5 Ga 3.03-3.35, 4 Cu 3.18-3.23
Ca: 0.6511 0.2600 0.2500  5 Ga 3.03-3.35, 4 Cu 3.18-3.23
Ca: 0.8644 0.6131 0.1022  4 Cu 2.98-3.27, 2 Ga 3.12-3.16
Ca: 0.8644 0.6131 0.3978  4 Cu 2.98-3.27, 2 Ga 3.12-3.16
Ca: 0.8644 0.8869 0.6022  4 Cu 2.98-3.27, 2 Ga 3.12-3.16
Ca: 0.8644 0.8869 0.8978  4 Cu 2.98-3.27, 2 Ga 3.12-3.16
Ga: 0.1699 0.0879 0.7500  2 Cu 2.55
Ga: 0.1699 0.4121 0.2500  2 Cu 2.55
Ga: 0.3665 0.7500 0.0000  4 Cu 2.57-2.59
Ga: 0.3665 0.7500 0.5000  4 Cu 2.57-2.59
Ga: 0.6335 0.2500 0.0000  4 Cu 2.57-2.59
Ga: 0.6335 0.2500 0.5000  4 Cu 2.57-2.59
Ga: 0.8301 0.5879 0.7500  2 Cu 2.55
Ga: 0.8301 0.9121 0.2500  2 Cu 2.55
Cu: 0.3832 0.0287 0.5868  3 Ga 2.55-2.59, 1 Cu 2.72
Cu: 0.3832 0.0287 0.9132  3 Ga 2.55-2.59, 1 Cu 2.72
Cu: 0.3832 0.4713 0.0868  3 Ga 2.55-2.59, 1 Cu 2.72
Cu: 0.3832 0.4713 0.4132  3 Ga 2.55-2.59, 1 Cu 2.72
Cu: 0.6168 0.5287 0.5868  3 Ga 2.55-2.59, 1 Cu 2.72
Cu: 0.6168 0.5287 0.9132  3 Ga 2.55-2.59, 1 Cu 2.72
Cu: 0.6168 0.9713 0.0868  3 Ga 2.55-2.59, 1 Cu 2.72
Cu: 0.6168 0.9713 0.4132  3 Ga 2.55-2.59, 1 Cu 2.72

Results
Calculated formation energy in eV per formula unit: -2.40

=====

2.
Entry from Alexandria via LeMat-Bulk: an optimized crystal structure of CrRu2 (PBE).

Cell: 5.0196 5.0196 6.2976 Å, 104.03 104.03 31.18°
Closest atoms and distances in Å follow each position.
Element x y z (fractional)
Cr: 0.0341 0.0341 0.2997  9 Ru 2.57-2.67, 3 Cr 2.70-2.76
Cr: 0.9659 0.9659 0.7003  9 Ru 2.57-2.67, 3 Cr 2.70-2.76
Ru: 0.3136 0.3136 0.3702  5 Cr 2.60-2.65, 7 Ru 2.65-2.74
Ru: 0.3620 0.3620 0.9716  4 Cr 2.57-2.67, 8 Ru 2.60-2.74
Ru: 0.6380 0.6380 0.0284  4 Cr 2.57-2.67, 8 Ru 2.60-2.74
Ru: 0.6864 0.6864 0.6298  5 Cr 2.60-2.65, 7 Ru 2.65-2.74

Results
Calculated formation energy in eV per formula unit: 0.10

=====

3.
Entry from Alexandria via LeMat-Bulk: an optimized crystal structure of RbCd9In4 (PBE).

Cell: 10.1670 10.1670 10.1670 Å, 119.14 119.14 91.49°
Closest atoms and distances in Å follow each position.
Element x y z (fractional)
Rb: 0.2500 0.2500 0.0000  16 Cd 4.12-4.26, 8 In 4.16
Rb: 0.7500 0.7500 0.0000  16 Cd 4.12-4.26, 8 In 4.16
Cd: 0.0000 0.5000 0.5000  8 Cd 3.01-3.14, 4 In 3.21
Cd: 0.0477 0.8014 0.8491  5 Cd 2.98-3.21, 4 In 3.21-3.29
Cd: 0.0580 0.5580 0.2661  4 In 2.99-3.25, 5 Cd 3.01-3.22
Cd: 0.1986 0.0477 0.2463  5 Cd 2.98-3.21, 4 In 3.21-3.29
Cd: 0.2081 0.9420 0.5000  4 In 2.99-3.25, 5 Cd 3.01-3.22
Cd: 0.2919 0.7919 0.7339  4 In 2.99-3.25, 5 Cd 3.01-3.22
Cd: 0.3014 0.5477 0.8491  5 Cd 2.98-3.21, 4 In 3.21-3.29
Cd: 0.4420 0.7081 0.5000  4 In 2.99-3.25, 5 Cd 3.01-3.22
Cd: 0.4523 0.3014 0.7537  5 Cd 2.98-3.21, 4 In 3.21-3.29
Cd: 0.5000 0.0000 0.5000  8 Cd 3.01-3.14, 4 In 3.21
Cd: 0.5477 0.6986 0.2463  5 Cd 2.98-3.21, 4 In 3.21-3.29
Cd: 0.5580 0.2919 0.5000  4 In 2.99-3.25, 5 Cd 3.01-3.22
Cd: 0.6986 0.4523 0.1509  5 Cd 2.98-3.21, 4 In 3.21-3.29
Cd: 0.7081 0.2081 0.2661  4 In 2.99-3.25, 5 Cd 3.01-3.22
Cd: 0.7919 0.0580 0.5000  4 In 2.99-3.25, 5 Cd 3.01-3.22
Cd: 0.8014 0.9523 0.7537  5 Cd 2.98-3.21, 4 In 3.21-3.29
Cd: 0.9420 0.4420 0.7339  4 In 2.99-3.25, 5 Cd 3.01-3.22
Cd: 0.9523 0.1986 0.1509  5 Cd 2.98-3.21, 4 In 3.21-3.29
In: 0.0586 0.1913 0.5000  9 Cd 2.99-3.29
In: 0.1913 0.6913 0.1327  9 Cd 2.99-3.29
In: 0.3087 0.4414 0.5000  9 Cd 2.99-3.29
In: 0.4414 0.9414 0.1327  9 Cd 2.99-3.29
In: 0.5586 0.0586 0.8673  9 Cd 2.99-3.29
In: 0.6913 0.5586 0.5000  9 Cd 2.99-3.29
In: 0.8087 0.3087 0.8673  9 Cd 2.99-3.29
In: 0.9414 0.8087 0.5000  9 Cd 2.99-3.29

Results
Calculated formation energy in eV per formula unit: -0.53

=====

4.
Entry from Alexandria via LeMat-Bulk: an optimized crystal structure of Pr2NdSi (PBE).

Cell: 7.9730 9.4774 6.4758 Å, 90.00 90.00 90.00°
Closest atoms and distances in Å follow each position.
Element x y z (fractional)
Pr: 0.1855 0.0544 0.1296  3 Si 3.09-3.20
Pr: 0.1855 0.4456 0.1296  3 Si 3.09-3.20
Pr: 0.3145 0.5544 0.6296  3 Si 3.09-3.20
Pr: 0.3145 0.9456 0.6296  3 Si 3.09-3.20
Pr: 0.6855 0.0544 0.3704  3 Si 3.09-3.20
Pr: 0.6855 0.4456 0.3704  3 Si 3.09-3.20
Pr: 0.8145 0.5544 0.8704  3 Si 3.09-3.20
Pr: 0.8145 0.9456 0.8704  3 Si 3.09-3.20
Nd: 0.0303 0.2500 0.6304  2 Si 3.07-3.08
Nd: 0.4697 0.7500 0.1304  2 Si 3.07-3.08
Nd: 0.5303 0.2500 0.8696  2 Si 3.07-3.08
Nd: 0.9697 0.7500 0.3696  2 Si 3.07-3.08
Si: 0.1207 0.7500 0.9311  2 Nd 3.07-3.08, 6 Pr 3.09-3.20
Si: 0.3793 0.2500 0.4311  2 Nd 3.07-3.08, 6 Pr 3.09-3.20
Si: 0.6207 0.7500 0.5689  2 Nd 3.07-3.08, 6 Pr 3.09-3.20
Si: 0.8793 0.2500 0.0689  2 Nd 3.07-3.08, 6 Pr 3.09-3.20

Results
Energy above the most stable polymorph in this dataset in kJ/mol of formula units: 0

=====

5.
Entry from Alexandria via LeMat-Bulk: an optimized crystal structure of Th6Hg3C2Se (PBE).

Cell: 9.9206 9.9206 9.0910 Å, 113.08 113.08 22.59°
Closest atoms and distances in Å follow each position.
Element x y z (fractional)
Th: 0.0334 0.0334 0.2595  1 C 2.52
Th: 0.3161 0.3161 0.4587  3 C 2.59-2.75
Th: 0.3310 0.3310 0.8698  2 C 2.57
Th: 0.6690 0.6690 0.1302  2 C 2.57
Th: 0.6839 0.6839 0.5413  3 C 2.59-2.75
Th: 0.9666 0.9666 0.7405  1 C 2.52
Hg: 0.1475 0.1475 0.8076  6 Th 3.32-3.40, 2 Hg 3.66
Hg: 0.5000 0.5000 0.5000  6 Th 3.18-3.45
Hg: 0.8525 0.8525 0.1924  6 Th 3.32-3.40, 2 Hg 3.66
C: 0.1714 0.1714 0.3174  6 Th 2.52-2.75
C: 0.8286 0.8286 0.6826  6 Th 2.52-2.75
Se: 0.5000 0.5000 0.0000  6 Th 2.92-3.02

Results
Energy in eV/atom: -6.06

=====

6.
Entry from Alexandria via LeMat-Bulk: an optimized crystal structure of ZnAsSe (PBE).

Cell: 4.4867 4.4867 4.4867 Å, 60.00 60.00 60.00°
Closest atoms and distances in Å follow each position.
Element x y z (fractional)
Zn: 0.0000 0.0000 0.0000  4 As 2.75, 4 Se 2.75
As: 0.7500 0.7500 0.7500  4 Zn 2.75
Se: 0.2500 0.2500 0.2500  4 Zn 2.75

Results
Energy in eV/atom: -2.92

=====

7.
Entry from Alexandria via LeMat-Bulk: an optimized crystal structure of Ni2SbAs (PBE).

Cell: 6.1274 6.1274 6.1274 Å, 36.70 36.70 36.70°
Closest atoms and distances in Å follow each position.
Element x y z (fractional)
Ni: 0.0000 0.0000 0.0000  3 Ni 2.40, 3 Sb 2.57
Ni: 0.2814 0.2814 0.2814  3 As 2.35, 3 Ni 2.40
Sb: 0.7412 0.7412 0.7412  3 Ni 2.57
As: 0.5711 0.5711 0.5711  3 Ni 2.35

Results
Energy in eV/atom: -5.15